CsNaMo2Pb: relaxed, GGA-PBE.

The structure in POSCAR format:
```
CsNaMo2Pb
1.0
-0.072 1.739 5.205
-0.183 -6.637 2.215
5.485 -0.114 0.114
Mo Na Cs Pb
2 1 1 1
Cartesian
2.743 -0.057 0.057
-0.036 0.869 2.602
2.615 -2.506 3.766
-0.092 -3.318 1.107
0.000 0.000 0.000
```

Calculated values
Energy relative to the elements ... 1.688 eV per atom
DOS at the Fermi energy ... 3.760 states/eV/f.u.
Calculated total energy ... -3.820 eV/atom

LiAcPmTe3: relaxed, GGA-PBE.

The structure in POSCAR format:
```
LiAcPmTe3
1.0
-2.739 -2.753 2.151
1.220 -6.414 -6.659
7.050 -1.929 6.508
Li Te Ac Pm
2 6 2 2
Cartesian
3.577 -2.385 3.791
1.954 -8.711 -1.791
5.754 -5.877 2.094
1.793 -4.458 3.448
5.590 -2.993 5.576
-0.223 -5.220 -0.095
-0.059 -8.103 -3.576
3.738 -6.638 -1.448
4.343 -8.751 1.199
1.188 -2.345 0.801
4.341 -5.866 4.890
1.190 -5.231 -2.891
```

Calculated values
DOS at the Fermi energy ... 2.981 states/eV/f.u.
Calculated total energy ... -4.737 eV/atom
Formation energy from raw total energies ... -1.370 eV/atom

Ac2PrNdO6: relaxed, GGA-PBE.

The structure in POSCAR format:
```
Ac2PrNdO6
1.0
-0.973 -0.343 -6.097
-5.642 -2.819 1.059
-4.006 8.092 0.191
Ac O Nd Pr
4 12 2 2
Cartesian
-6.602 4.349 -2.430
-4.019 0.581 -2.417
-4.231 5.593 -5.797
-6.390 -0.663 0.950
-4.699 3.563 -3.781
-2.981 2.834 -0.892
-5.572 4.819 -0.240
-7.640 2.097 -3.956
-4.506 -1.456 -1.124
-5.922 1.368 -1.066
-1.590 -0.003 -0.945
-6.115 6.386 -3.723
-5.049 0.111 -4.607
-2.020 1.619 -3.766
-9.031 4.933 -3.902
-8.601 3.312 -1.081
-2.490 3.874 -2.953
-2.821 -1.409 0.529
-0.486 -0.171 -3.049
-4.824 2.637 0.625
```

Calculated values
DOS at the Fermi energy ... 0.000 states/eV/f.u.
Calculated total energy ... -8.028 eV/atom
Formation energy from raw total energies ... -3.277 eV/atom

Ac4SiTe2Pb: relaxed, GGA-PBE.

The structure in POSCAR format:
```
Ac4SiTe2Pb
1.0
-3.809 -2.792 -0.265
2.315 -3.818 6.967
-3.317 3.911 6.475
Ac Si Pb Te
4 1 1 2
Cartesian
-0.771 0.110 9.933
-3.702 0.425 6.518
-1.109 -3.125 6.659
-4.040 -2.810 3.244
-0.501 0.046 6.721
-0.747 -3.305 3.351
-3.317 3.911 6.475
-3.563 0.559 3.105
```

Calculated values
DOS at the Fermi energy ... 1.347 states/eV/f.u.
Calculated total energy ... -5.045 eV/atom
Formation energy from raw total energies ... -1.064 eV/atom

YTa2Cd: relaxed, GGA-PBE.

The structure in POSCAR format:
```
YTa2Cd
1.0
10.001 -0.035 -0.021
9.484 3.172 -0.021
9.484 1.527 2.780
Ta Cd Y
2 1 1
Cartesian
28.798 4.635 2.722
7.509 1.209 0.710
21.533 3.466 2.036
14.584 2.347 1.379
```

Calculated values
Energy relative to the elements ... 0.325 eV per atom
DOS at the Fermi energy ... 4.263 states/eV/f.u.
Calculated total energy ... -7.446 eV/atom

GdHgBi: relaxed, GGA-PBE.

The structure in POSCAR format:
```
GdHgBi
1.0
4.270 0.000 0.000
0.000 4.270 0.000
-2.135 -2.135 4.790
Gd Bi Hg
1 1 1
Cartesian
0.000 0.000 2.786
2.135 2.135 4.251
2.135 2.135 1.106
```

Calculated values
Energy relative to the elements ... -0.430 eV per atom
DOS at the Fermi energy ... 2.710 states/eV/f.u.
Calculated total energy ... -6.518 eV/atom
Energy above the lowest structure with this stoichiometry ... 56.9 meV/atom

- DOS at the Fermi energy of number 2 (LiAcPmTe3)?
  2.981 states/eV/f.u.

- Which formula does entry 1 have?
  CsNaMo2Pb